HgI: optimized geometry, PBE.

Lattice parameters (Å, degrees): 5.8935 4.2324 5.9234 90.00 109.62 90.00
With the nearest neighbours (Å) after each atom.
Positions (direct):
Hg 0.1089 0.2500 0.3976  2 Hg 2.94, 2 I 3.06
Hg 0.8911 0.7500 0.6024  2 Hg 2.94, 2 I 3.06
I 0.3345 0.7500 0.1661  2 Hg 3.06
I 0.6655 0.2500 0.8339  2 Hg 3.06

Calculated values
raw formation energy	-113	meV per atom
crystal system	monoclinic
SG	P2_1/m (11)
offset from the most stable computed form	0.129	eV per atom